# 1
Compound: AcPrGa4
Source: Alexandria via LeMat-Bulk
Functional: GGA-PBE
Structure: optimized geometry

Computed properties:
* DFT total energy: -4.00 eV/atom
* excess energy over the best structure of this formula in the dataset: 142 meV per atom
* DOS(E_F): 0.599 states/eV/atom
* DFT formation energy: -0.498 eV per atom

Cell lengths 8.173, 8.173, 8.173 Å; angles 90.00, 90.00, 90.00 degrees
Space group F-43m (No. 216)
Unique sites:
Ac 0.000 0.000 0.000 [4 per cell]
Pr 0.250 0.250 0.750 [4 per cell]
Ga 0.125 0.125 0.375 [16 per cell]



# 2
Compound: Ac2PrGa3Pt4
Source: Alexandria via LeMat-Bulk
Functional: GGA-PBE
Structure: optimized geometry

Computed properties:
* DFT total energy: -5.57 eV/atom
* DOS(E_F): 0.543 states/eV/atom
* DFT formation energy: -0.949 eV per atom

Cell lengths 4.458, 4.458, 11.440 Å; angles 90.00, 90.00, 90.00 degrees
Space group P-4m2 (No. 115)
Unique sites:
Ac 0.000 0.500 0.227 [2 per cell]
Pr 0.000 0.000 0.500 [1 per cell]
Ga 0.000 0.500 0.887 [2 per cell]
Ga 0.500 0.500 0.500 [1 per cell]
Pt 0.000 0.000 0.000 [1 per cell]
Pt 0.000 0.500 0.664 [2 per cell]
Pt 0.500 0.500 0.000 [1 per cell]



# 3
Compound: AcPrGaPt
Source: Alexandria via LeMat-Bulk
Functional: GGA-PBE
Structure: optimized geometry

Computed properties:
* DFT total energy: -5.16 eV/atom
* excess energy over the best structure of this formula in the dataset: 119 meV per atom
* DOS(E_F): 0.854 states/eV/atom
* DFT formation energy: -0.672 eV per atom

Cell lengths 7.558, 7.558, 7.558 Å; angles 90.00, 90.00, 90.00 degrees
Space group F-43m (No. 216)
Unique sites:
Ac 0.000 0.000 0.000 [4 per cell]
Pr 0.000 0.000 0.500 [4 per cell]
Ga 0.250 0.250 0.750 [4 per cell]
Pt 0.250 0.250 0.250 [4 per cell]



# 4
Compound: AcPrGaPt
Source: Alexandria via LeMat-Bulk
Functional: GGA-PBE
Structure: optimized geometry

Computed properties:
* DFT total energy: -5.28 eV/atom
* excess energy over the best structure of this formula in the dataset: 0 meV per atom
* DOS(E_F): 0.974 states/eV/atom
* DFT formation energy: -0.791 eV per atom

Cell lengths 4.566, 4.518, 10.733 Å; angles 90.00, 90.00, 90.00 degrees
Space group Amm2 (No. 38)
Unique sites:
Ac 0.000 0.000 0.000 [2 per cell]
Pr 0.500 0.000 0.286 [2 per cell]
Ga 0.500 0.000 0.585 [2 per cell]
Pt 0.000 0.000 0.715 [2 per cell]